# Ag3N, optimized geometry, DFT PBE
# Volume (Å³/f.u.): 66.1
# Calculated density (g/cm3): 8.48
# Total DFT energy (no corrections) (Ha/atom): -0.124
data_Ag3N
_chemical_formula_sum 'Ag12 N4'
_space_group_name_H-M_alt 'P 21 3'
_space_group_IT_number 198
_space_group_name_Hall 'P 2ac 2ab 3'
_cell_length_a 6.4180
_cell_length_b 6.4180
_cell_length_c 6.4180
_cell_angle_alpha 90.00
_cell_angle_beta 90.00
_cell_angle_gamma 90.00
loop_
_atom_site_label
_atom_site_type_symbol
_atom_site_fract_x
_atom_site_fract_y
_atom_site_fract_z
Ag1 Ag 0.0014 0.2516 0.3841
N1 N 0.0860 0.9140 0.4140